VHPd2: relaxed, PBE.

Calculated values
ρ: 9.09 g/cm3
SG: No. 122
energy relative to the lowest polymorph listed for this composition: 57 meV/atom

```
data_VHPd2
_chemical_formula_sum 'V2 H2 Pd4'
_cell_length_a 6.320
_cell_length_b 6.320
_cell_length_c 5.083
_cell_angle_alpha 51.56
_cell_angle_beta 51.56
_cell_angle_gamma 90.00
_space_group_name_H-M_alt 'P 1'
_space_group_IT_number 1
_space_group_name_Hall 'P 1'
loop_
_atom_site_label
_atom_site_type_symbol
_atom_site_fract_x
_atom_site_fract_y
_atom_site_fract_z
H1 H 0.500 0.500 0.000
H2 H 0.250 0.750 0.500
Pd1 Pd 0.519 0.125 0.250
Pd2 Pd 0.231 0.625 0.250
Pd3 Pd 0.375 0.481 0.750
Pd4 Pd 0.875 0.769 0.750
V1 V 0.000 0.000 0.000
V2 V 0.750 0.250 0.500
```


V2HPd: relaxed, PBE.

Calculated values
ρ: 6.89 g/cm3
SG: No. 225
energy relative to the lowest polymorph listed for this composition: 574 meV/atom

```
data_V2HPd
_chemical_formula_sum 'V2 H1 Pd1'
_cell_length_a 4.147
_cell_length_b 4.147
_cell_length_c 4.147
_cell_angle_alpha 60.00
_cell_angle_beta 60.00
_cell_angle_gamma 60.00
_space_group_name_H-M_alt 'P 1'
_space_group_IT_number 1
_space_group_name_Hall 'P 1'
loop_
_atom_site_label
_atom_site_type_symbol
_atom_site_fract_x
_atom_site_fract_y
_atom_site_fract_z
H1 H 0.000 0.000 0.000
Pd1 Pd 0.500 0.500 0.500
V1 V 0.250 0.250 0.250
V2 V 0.750 0.750 0.750
```


VHPd: relaxed, PBE.

Calculated values
ρ: 8.54 g/cm3
SG: No. 156
energy relative to the lowest polymorph listed for this composition: 39 meV/atom

```
data_VHPd
_chemical_formula_sum 'V1 H1 Pd1'
_cell_length_a 2.810
_cell_length_b 2.810
_cell_length_c 4.500
_cell_angle_alpha 90.00
_cell_angle_beta 90.00
_cell_angle_gamma 120.00
_space_group_name_H-M_alt 'P 1'
_space_group_IT_number 1
_space_group_name_Hall 'P 1'
loop_
_atom_site_label
_atom_site_type_symbol
_atom_site_fract_x
_atom_site_fract_y
_atom_site_fract_z
H1 H 0.333 0.667 0.617
Pd1 Pd 0.000 0.000 0.955
V1 V 0.667 0.333 0.428
```


VHPd3: relaxed, PBE.

Calculated values
ρ: 6.19 g/cm3
SG: No. 221
energy relative to the lowest polymorph listed for this composition: 1380 meV/atom

```
data_VHPd3
_chemical_formula_sum 'V1 H1 Pd3'
_cell_length_a 4.634
_cell_length_b 4.634
_cell_length_c 4.634
_cell_angle_alpha 90.00
_cell_angle_beta 90.00
_cell_angle_gamma 90.00
_space_group_name_H-M_alt 'P 1'
_space_group_IT_number 1
_space_group_name_Hall 'P 1'
loop_
_atom_site_label
_atom_site_type_symbol
_atom_site_fract_x
_atom_site_fract_y
_atom_site_fract_z
H1 H 0.500 0.500 0.500
Pd1 Pd 0.000 0.500 0.000
Pd2 Pd 0.000 0.000 0.500
Pd3 Pd 0.500 0.000 0.000
V1 V 0.000 0.000 0.000
```


VH4Pd4: relaxed, PBE.

Calculated values
ρ: 9.53 g/cm3
SG: No. 12
total DFT energy (no corrections): -44.29 eV/cell

```
data_VH4Pd4
_chemical_formula_sum 'V1 H4 Pd4'
_cell_length_a 2.879
_cell_length_b 4.954
_cell_length_c 6.454
_cell_angle_alpha 74.24
_cell_angle_beta 77.11
_cell_angle_gamma 73.10
_space_group_name_H-M_alt 'P 1'
_space_group_IT_number 1
_space_group_name_Hall 'P 1'
loop_
_atom_site_label
_atom_site_type_symbol
_atom_site_fract_x
_atom_site_fract_y
_atom_site_fract_z
V1 V 0.500 0.000 0.000
H1 H 0.306 0.088 0.301
H2 H 0.694 0.912 0.699
H3 H 0.915 0.275 0.895
H4 H 0.085 0.725 0.105
Pd1 Pd 0.705 0.395 0.196
Pd2 Pd 0.905 0.802 0.389
Pd3 Pd 0.295 0.605 0.804
Pd4 Pd 0.095 0.198 0.611
```


VH6Pd12: relaxed, PBE.

Calculated values
ρ: 10.13 g/cm3
SG: No. 148
total DFT energy (no corrections): -93.10 eV/cell

```
data_VH6Pd12
_chemical_formula_sum 'V1 H6 Pd12'
_cell_length_a 6.572
_cell_length_b 6.572
_cell_length_c 6.572
_cell_angle_alpha 109.45
_cell_angle_beta 109.45
_cell_angle_gamma 109.45
_space_group_name_H-M_alt 'P 1'
_space_group_IT_number 1
_space_group_name_Hall 'P 1'
loop_
_atom_site_label
_atom_site_type_symbol
_atom_site_fract_x
_atom_site_fract_y
_atom_site_fract_z
V1 V 0.000 0.000 0.000
H1 H 0.639 0.858 0.465
H2 H 0.535 0.361 0.142
H3 H 0.142 0.535 0.361
H4 H 0.361 0.142 0.535
H5 H 0.465 0.639 0.858
H6 H 0.858 0.465 0.639
Pd1 Pd 0.820 0.699 0.515
Pd2 Pd 0.515 0.820 0.699
Pd3 Pd 0.699 0.515 0.820
Pd4 Pd 0.180 0.301 0.485
Pd5 Pd 0.485 0.180 0.301
Pd6 Pd 0.301 0.485 0.180
Pd7 Pd 0.119 0.818 0.304
Pd8 Pd 0.182 0.696 0.881
Pd9 Pd 0.696 0.881 0.182
Pd10 Pd 0.881 0.182 0.696
Pd11 Pd 0.818 0.304 0.119
Pd12 Pd 0.304 0.119 0.818
```


V3H3Pd: relaxed, PBE.

Calculated values
ρ: 6.87 g/cm3
SG: No. 223
total DFT energy (no corrections): -87.90 eV/cell

```
data_V3H3Pd
_chemical_formula_sum 'V6 H6 Pd2'
_cell_length_a 5.023
_cell_length_b 5.023
_cell_length_c 5.023
_cell_angle_alpha 90.00
_cell_angle_beta 90.00
_cell_angle_gamma 90.00
_space_group_name_H-M_alt 'P 1'
_space_group_IT_number 1
_space_group_name_Hall 'P 1'
loop_
_atom_site_label
_atom_site_type_symbol
_atom_site_fract_x
_atom_site_fract_y
_atom_site_fract_z
H1 H 0.250 0.000 0.500
H2 H 0.000 0.500 0.250
H3 H 0.500 0.750 0.000
H4 H 0.750 0.000 0.500
H5 H 0.000 0.500 0.750
H6 H 0.500 0.250 0.000
Pd1 Pd 0.500 0.500 0.500
Pd2 Pd 0.000 0.000 0.000
V1 V 0.000 0.250 0.500
V2 V 0.000 0.750 0.500
V3 V 0.500 0.000 0.750
V4 V 0.750 0.500 0.000
V5 V 0.500 0.000 0.250
V6 V 0.250 0.500 0.000
```


VH2Pd2: relaxed, PBE.

Calculated values
ρ: 8.07 g/cm3
SG: No. 127
energy relative to the lowest polymorph listed for this composition: 21 meV/atom

```
data_VH2Pd2
_chemical_formula_sum 'V2 H4 Pd4'
_cell_length_a 5.426
_cell_length_b 5.426
_cell_length_c 3.714
_cell_angle_alpha 90.00
_cell_angle_beta 90.00
_cell_angle_gamma 90.00
_space_group_name_H-M_alt 'P 1'
_space_group_IT_number 1
_space_group_name_Hall 'P 1'
loop_
_atom_site_label
_atom_site_type_symbol
_atom_site_fract_x
_atom_site_fract_y
_atom_site_fract_z
H1 H 0.175 0.675 0.000
H2 H 0.675 0.825 0.000
H3 H 0.825 0.325 0.000
H4 H 0.325 0.175 0.000
Pd1 Pd 0.179 0.679 0.500
Pd2 Pd 0.679 0.821 0.500
Pd3 Pd 0.821 0.321 0.500
Pd4 Pd 0.321 0.179 0.500
V1 V 0.000 0.000 0.000
V2 V 0.500 0.500 0.000
```


VHPd: relaxed, PBE.

Calculated values
ρ: 8.44 g/cm3
SG: No. 166
energy relative to the lowest polymorph listed for this composition: 134 meV/atom

```
data_VHPd
_chemical_formula_sum 'V2 H2 Pd2'
_cell_length_a 2.787
_cell_length_b 2.787
_cell_length_c 9.402
_cell_angle_alpha 81.48
_cell_angle_beta 81.48
_cell_angle_gamma 60.00
_space_group_name_H-M_alt 'P 1'
_space_group_IT_number 1
_space_group_name_Hall 'P 1'
loop_
_atom_site_label
_atom_site_type_symbol
_atom_site_fract_x
_atom_site_fract_y
_atom_site_fract_z
H1 H 0.591 0.591 0.226
H2 H 0.409 0.409 0.774
Pd1 Pd 0.876 0.876 0.371
Pd2 Pd 0.124 0.124 0.629
V1 V 0.293 0.293 0.121
V2 V 0.707 0.707 0.879
```


V2HPd: relaxed, PBE.

Calculated values
ρ: 7.73 g/cm3
SG: No. 123
energy relative to the lowest polymorph listed for this composition: 106 meV/atom

```
data_V2HPd
_chemical_formula_sum 'V2 H1 Pd1'
_cell_length_a 2.662
_cell_length_b 2.662
_cell_length_c 6.347
_cell_angle_alpha 90.00
_cell_angle_beta 90.00
_cell_angle_gamma 90.00
_space_group_name_H-M_alt 'P 1'
_space_group_IT_number 1
_space_group_name_Hall 'P 1'
loop_
_atom_site_label
_atom_site_type_symbol
_atom_site_fract_x
_atom_site_fract_y
_atom_site_fract_z
H1 H 0.500 0.500 0.000
Pd1 Pd 0.500 0.500 0.500
V1 V 0.000 0.000 0.814
V2 V 0.000 0.000 0.186
```


V2H2Pd: relaxed, PBE.

Calculated values
ρ: 7.36 g/cm3
SG: No. 139
energy relative to the lowest polymorph listed for this composition: 77 meV/atom

```
data_V2H2Pd
_chemical_formula_sum 'V2 H2 Pd1'
_cell_length_a 3.307
_cell_length_b 3.307
_cell_length_c 4.928
_cell_angle_alpha 70.40
_cell_angle_beta 70.40
_cell_angle_gamma 90.00
_space_group_name_H-M_alt 'P 1'
_space_group_IT_number 1
_space_group_name_Hall 'P 1'
loop_
_atom_site_label
_atom_site_type_symbol
_atom_site_fract_x
_atom_site_fract_y
_atom_site_fract_z
H1 H 0.750 0.250 0.500
H2 H 0.250 0.750 0.500
Pd1 Pd 0.000 0.000 0.000
V1 V 0.333 0.333 0.334
V2 V 0.667 0.667 0.666
```


V2HPdW: relaxed, PBE.

Calculated values
ρ: 10.80 g/cm3
SG: No. 123
energy relative to the lowest polymorph listed for this composition: 6 meV/atom

```
data_V2HPdW
_chemical_formula_sum 'V2 H1 Pd1 W1'
_cell_length_a 4.135
_cell_length_b 4.135
_cell_length_c 3.535
_cell_angle_alpha 90.00
_cell_angle_beta 90.00
_cell_angle_gamma 90.00
_space_group_name_H-M_alt 'P 1'
_space_group_IT_number 1
_space_group_name_Hall 'P 1'
loop_
_atom_site_label
_atom_site_type_symbol
_atom_site_fract_x
_atom_site_fract_y
_atom_site_fract_z
H1 H 0.000 0.000 0.000
Pd1 Pd 0.000 0.000 0.500
W1 W 0.500 0.500 0.500
V1 V 0.000 0.500 0.000
V2 V 0.500 0.000 0.000
```